Record 1
Below is a geometry-optimized Ca2ZrBi structure, with properties calculated at the GGA-PBE level.

Structure (extended XYZ):
```
8
Lattice="-1.4956 -0.7500 8.8642 8.6544 -2.2025 1.2739 4.2984 1.5680 5.4479" Properties=species:S:1:pos:R:3 pbc="T T T"
Zr 8.2661 -1.0554 5.8954
Bi 3.1911 -0.3292 9.6905
Ca 5.6953 0.1230 7.8563
Bi 0.0000 0.0000 0.0000
Ca 6.3335 -1.0599 3.0479
Ca 9.7008 -1.4618 12.9881
Ca 1.1848 -0.3706 7.2796
Zr 3.5794 -1.4763 5.0690
```

Calculated values
ΔH_f (0 K): 212 meV/atom
total magnetization: 3.47 Bohr magnetons per cell
density: 4.927 g cm⁻³

Record 2
Below is a geometry-optimized CaZr2Bi structure, with properties calculated at the GGA-PBE level.

Structure (extended XYZ):
```
8
Lattice="8.6339 0.0000 0.0000 0.0000 8.6339 0.0000 4.3169 4.3169 3.0587" Properties=species:S:1:pos:R:3 pbc="T T T"
Ca 4.3169 8.6339 1.5293
Zr 6.7568 2.1585 0.7647
Ca 4.3169 4.3169 0.0000
Bi 8.6339 4.3169 1.5293
Zr 1.8771 6.4754 0.7647
Zr 6.4754 6.1940 2.2940
Zr 10.7924 11.0737 2.2940
Bi 0.0000 0.0000 0.0000
```

Calculated values
ΔH_f (0 K): 292 meV/atom
total magnetization: 0.00 Bohr magnetons per cell
density: 6.285 g cm⁻³

Record 3
Below is a geometry-optimized CaZrBi2 structure, with properties calculated at the GGA-PBE level.

Structure (extended XYZ):
```
8
Lattice="-7.5150 2.4151 2.6052 -3.5116 -4.1278 -6.3028 -5.7409 -3.7346 0.1630" Properties=species:S:1:pos:R:3 pbc="T T T"
Zr -9.3846 -1.0879 0.4597
Zr 0.0000 0.0000 0.0000
Bi -14.0137 -4.3698 -3.2205
Ca -7.3828 -4.3593 -3.9943
Ca -5.5133 -0.8563 -1.8488
Bi -8.3808 -3.3729 -1.1570
Bi -4.4414 -3.2527 -3.6172
Bi -6.6990 0.1010 0.9255
```

Calculated values
ΔH_f (0 K): -263 meV/atom
distance to the lowest polymorph of the same formula: 0.278 eV/atom
total magnetization: 0.00 Bohr magnetons per cell
density: 7.502 g cm⁻³

Record 4
Below is a geometry-optimized Ca2ZrBi2 structure, with properties calculated at the GGA-PBE level.

Structure (extended XYZ):
```
5
Lattice="-2.8384 -1.4732 3.2196 1.8261 -4.1444 -0.2865 5.1592 -0.7237 7.4153" Properties=species:S:1:pos:R:3 pbc="T T T"
Bi 0.9073 -2.5028 6.0507
Zr 0.0000 0.0000 0.0000
Ca 3.4831 -3.9631 7.6534
Ca 0.6638 -2.3782 2.6950
Bi 3.2396 -3.8384 4.2977
```

Calculated values
ΔH_f (0 K): 282 meV/atom
distance to the lowest polymorph of the same formula: 0.781 eV/atom
total magnetization: 3.39 Bohr magnetons per cell
density: 5.607 g cm⁻³

Record 5
Below is a geometry-optimized Ca2ZrBi2 structure, with properties calculated at the GGA-PBE level.

Structure (extended XYZ):
```
10
Lattice="8.0807 0.0000 0.0000 0.0000 8.0807 0.0000 0.0000 0.0000 4.5929" Properties=species:S:1:pos:R:3 pbc="T T T"
Ca 5.3052 6.8158 2.2965
Bi 6.8315 5.2895 0.0000
Bi 2.7911 6.8315 0.0000
Bi 1.2492 2.7911 0.0000
Ca 1.2649 5.3052 2.2965
Bi 5.2895 1.2492 0.0000
Zr 0.0000 0.0000 0.0000
Ca 2.7755 1.2649 2.2965
Zr 4.0403 4.0403 0.0000
Ca 6.8158 2.7755 2.2965
```

Calculated values
ΔH_f (0 K): -500 meV/atom
distance to the lowest polymorph of the same formula: 0.000 eV/atom
total magnetization: 0.00 Bohr magnetons per cell
density: 6.526 g cm⁻³

Record 6
Below is a geometry-optimized CaZrBi2 structure, with properties calculated at the GGA-PBE level.

Structure (extended XYZ):
```
4
Lattice="4.3111 0.0146 0.0138 2.1451 3.7396 0.0138 2.1239 1.2350 7.5537" Properties=species:S:1:pos:R:3 pbc="T T T"
Bi 2.1456 1.2476 1.7400
Ca 4.2901 2.4946 3.7907
Bi 6.4346 3.7416 5.8413
Zr 0.0000 0.0000 0.0000
```

Calculated values
ΔH_f (0 K): -541 meV/atom
distance to the lowest polymorph of the same formula: 0.000 eV/atom
total magnetization: 0.00 Bohr magnetons per cell
density: 7.513 g cm⁻³